## SCl3O (meta-GGA SCAN)

Data for a crystal of SCl3O relaxed with PBEsol.

CIF file:
```
data_SCl3O
_chemical_formula_sum 'S1 Cl3 O1'
_cell_length_a 4.682
_cell_length_b 4.682
_cell_length_c 4.682
_cell_angle_alpha 90.00
_cell_angle_beta 90.00
_cell_angle_gamma 90.00
_symmetry_space_group_name_H-M 'P 1'
_symmetry_Int_Tables_number 1
loop_
_symmetry_equiv_pos_as_xyz
'x,y,z'
loop_
_atom_site_label
_atom_site_fract_x
_atom_site_fract_y
_atom_site_fract_z
_atom_site_occupancy
S1 0.000 0.000 0.000 1
Cl1 0.000 0.000 0.500 1
Cl2 0.000 0.500 0.000 1
Cl3 0.500 0.000 0.000 1
O1 0.500 0.500 0.500 1
```

DOS at the Fermi energy: 1.12 states/eV/atom
raw total energy: -36.33 eV for the cell shown
raw formation energy: 0.69 eV per atom